Arrangement w

VASP calculation (PBE-GGA) on an optimized crystal structure of TiAgBr2.

The value obtained for the density is 4.917 g/cm³.

The space group is R-3m (No. 166, hexagonal axes) and the conventional cell measures 3.7549, 3.7549 and 26.1834 Å, with angles of 90.00, 90.00 and 120.00 degrees. The inequivalent atoms are Ti at (0.0000, 0.0000, 0.0000), Ag at (0.0000, 0.0000, 0.5000) and Br at (0.0000, 0.0000, 0.0961).

Arrangement x

VASP calculation (PBE-GGA) on an optimized crystal structure of TiAgBr2.

The value obtained for the density is 5.206 g/cm³.

The space group is R-3m (No. 166, hexagonal axes) and the conventional cell measures 3.3399, 3.3399 and 31.2551 Å, with angles of 90.00, 90.00 and 120.00 degrees. The inequivalent atoms are Ti at (0.0000, 0.0000, 0.0000), Ag at (0.0000, 0.0000, 0.5000) and Br at (0.0000, 0.0000, 0.3895).

Arrangement y

VASP calculation (PBE-GGA) on an optimized crystal structure of TiAgBr2.

The value obtained for the density is 4.252 g/cm³.

The space group is I-42d (No. 122) and the conventional cell measures 6.5546, 6.5546 and 11.4738 Å, with angles of 90.00, 90.00 and 90.00 degrees. The inequivalent atoms are Ti at (0.0000, 0.0000, 0.0000), Ag at (0.0000, 0.0000, 0.5000) and Br at (0.2198, 0.2500, 0.1250).

Quick one: least stable of them? arrangement w

Arrangement w

VASP calculation (PBE-GGA) on an optimized crystal structure of Ti3AgBr.

The value obtained for the density is 5.404 g/cm³.

The space group is Pm-3m (No. 221) and the conventional cell measures 4.6696, 4.6696 and 4.6696 Å, with angles of 90.00, 90.00 and 90.00 degrees. The inequivalent atoms are Ti at (0.0000, 0.0000, 0.5000), Ag at (0.5000, 0.5000, 0.5000) and Br at (0.0000, 0.0000, 0.0000).

Arrangement x

VASP calculation (PBE-GGA) on an optimized crystal structure of Ti3AgBr.

The value obtained for the density is 4.358 g/cm³.

The space group is Pm-3m (No. 221) and the conventional cell measures 5.0167, 5.0167 and 5.0167 Å, with angles of 90.00, 90.00 and 90.00 degrees. The inequivalent atoms are Ti at (0.0000, 0.0000, 0.5000), Ag at (0.0000, 0.0000, 0.0000) and Br at (0.5000, 0.5000, 0.5000).

Quick one: least stable of them? arrangement x

Arrangement w

VASP calculation (PBE-GGA) on an optimized crystal structure of TiAg2Br.

The value obtained for the density is 6.830 g/cm³.

The space group is Fm-3m (No. 225) and the conventional cell measures 6.9386, 6.9386 and 6.9386 Å, with angles of 90.00, 90.00 and 90.00 degrees. The inequivalent atoms are Ti at (0.0000, 0.0000, 0.0000), Ag at (0.2500, 0.2500, 0.2500) and Br at (0.0000, 0.0000, 0.5000).

Arrangement x

VASP calculation (PBE-GGA) on an optimized crystal structure of TiAg2Br.

The value obtained for the density is 6.663 g/cm³.

The space group is I-42d (No. 122) and the conventional cell measures 8.0097, 8.0097 and 5.3374 Å, with angles of 90.00, 90.00 and 90.00 degrees. The inequivalent atoms are Ti at (0.0000, 0.0000, 0.0000), Ag at (0.2393, 0.2500, 0.1250) and Br at (0.0000, 0.0000, 0.5000).

Quick one: least stable of them? arrangement w

Arrangement w

VASP calculation (PBE-GGA) on an optimized crystal structure of TiAgBr6.

The value obtained for the density is 4.181 g/cm³.

The space group is P-1 (No. 2) and the conventional cell measures 6.3289, 6.9704 and 7.2598 Å, with angles of 115.72, 115.49 and 90.88 degrees. The inequivalent atoms are Ti at (0.0000, 0.0000, 0.0000), Ag at (0.5000, 0.5000, 0.0000), Br at (0.0152, 0.1930, 0.3793), Br at (0.2529, 0.7693, 0.1600) and Br at (0.3980, 0.2755, 0.1766).

Arrangement x

VASP calculation (PBE-GGA) on an optimized crystal structure of TiAgBr6.

The value obtained for the density is 3.916 g/cm³.

The space group is C2/m (No. 12) and the conventional cell measures 7.0101, 12.3308 and 6.9985 Å, with angles of 90.00, 117.08 and 90.00 degrees. The inequivalent atoms are Ti at (0.0000, 0.0000, 0.0000), Ag at (0.0000, 0.5000, 0.5000), Br at (0.2046, 0.0000, 0.7970) and Br at (0.2446, 0.1503, 0.2462).

Quick one: least stable of them? arrangement w

Arrangement w

VASP calculation (PBE-GGA) on an optimized crystal structure of Tl2AgBr.

The value obtained for the density is 8.705 g/cm³.

The space group is C2/m (No. 12) and the conventional cell measures 7.9742, 7.9441 and 3.5929 Å, with angles of 90.00, 90.36 and 90.00 degrees. The inequivalent atoms are Tl at (0.2500, 0.2500, 0.0000), Ag at (0.0000, 0.0000, 0.5000) and Br at (0.0000, 0.5000, 0.5000).

Arrangement x

VASP calculation (PBE-GGA) on an optimized crystal structure of Tl2AgBr.

The value obtained for the density is 8.357 g/cm³.

The space group is I-4m2 (No. 119) and the conventional cell measures 4.4984, 4.4984 and 11.7154 Å, with angles of 90.00, 90.00 and 90.00 degrees. The inequivalent atoms are Tl at (0.0000, 0.0000, 0.0000), Tl at (0.0000, 0.5000, 0.2500), Ag at (0.0000, 0.5000, 0.7500) and Br at (0.0000, 0.0000, 0.5000).

Arrangement y

VASP calculation (PBE-GGA) on an optimized crystal structure of Tl2AgBr.

The value obtained for the density is 8.115 g/cm³.

The space group is Cm (No. 8) and the conventional cell measures 12.3624, 4.0700 and 4.8520 Å, with angles of 90.00, 90.18 and 90.00 degrees. The inequivalent atoms are Tl at (0.0000, 0.0000, 0.0000), Tl at (0.2382, 0.5000, 0.5016), Ag at (0.4930, 0.0000, 0.5000) and Br at (0.2559, 0.0000, 0.0020).

Quick one: least stable of them? arrangement x

Arrangement w

VASP calculation (PBE-GGA) on an optimized crystal structure of Tl2AgBr.

The value obtained for the density is 8.807 g/cm³.

The space group is Imm2 (No. 44) and the conventional cell measures 3.6724, 5.4181 and 11.3050 Å, with angles of 90.00, 90.00 and 90.00 degrees. The inequivalent atoms are Tl at (0.0000, 0.0000, 0.0000), Tl at (0.0000, 0.5000, 0.2245), Ag at (0.0000, 0.5000, 0.7278) and Br at (0.0000, 0.0000, 0.4541).

Arrangement x

VASP calculation (PBE-GGA) on an optimized crystal structure of Tl2AgBr.

The value obtained for the density is 8.460 g/cm³.

The space group is F-43m (No. 216) and the conventional cell measures 7.7660, 7.7660 and 7.7660 Å, with angles of 90.00, 90.00 and 90.00 degrees. The inequivalent atoms are Tl at (0.0000, 0.0000, 0.0000), Tl at (0.2500, 0.2500, 0.2500), Ag at (0.0000, 0.0000, 0.5000) and Br at (0.2500, 0.2500, 0.7500).

Quick one: least stable of them? arrangement x

Arrangement w

VASP calculation (PBE-GGA) on an optimized crystal structure of Tl2AgBr.

The value obtained for the density is 5.779 g/cm³.

The space group is I-42d (No. 122) and the conventional cell measures 7.0827, 7.0827 and 13.6670 Å, with angles of 90.00, 90.00 and 90.00 degrees. The inequivalent atoms are Tl at (0.2174, 0.2500, 0.1250), Ag at (0.0000, 0.0000, 0.0000) and Br at (0.0000, 0.0000, 0.5000).

Arrangement x

VASP calculation (PBE-GGA) on an optimized crystal structure of Tl2AgBr.

The value obtained for the density is 7.748 g/cm³.

The space group is Pmmm (No. 47) and the conventional cell measures 4.2843, 4.6936 and 6.3582 Å, with angles of 90.00, 90.00 and 90.00 degrees. The inequivalent atoms are Tl at (0.0000, 0.0000, 0.0000), Tl at (0.5000, 0.5000, 0.5000), Ag at (0.0000, 0.0000, 0.5000) and Br at (0.5000, 0.5000, 0.0000).

Arrangement y

VASP calculation (PBE-GGA) on an optimized crystal structure of Tl2AgBr.

The value obtained for the density is 8.411 g/cm³.

The space group is Fm-3m (No. 225) and the conventional cell measures 7.7810, 7.7810 and 7.7810 Å, with angles of 90.00, 90.00 and 90.00 degrees. The inequivalent atoms are Tl at (0.2500, 0.2500, 0.2500), Ag at (0.0000, 0.0000, 0.0000) and Br at (0.0000, 0.0000, 0.5000).

Quick one: least stable of them? arrangement w

Arrangement w

VASP calculation (PBE-GGA) on an optimized crystal structure of TlAg3Br4.

The value obtained for the density is 5.705 g/cm³.

The space group is Pm-3n (No. 223) and the conventional cell measures 7.9019, 7.9019 and 7.9019 Å, with angles of 90.00, 90.00 and 90.00 degrees. The inequivalent atoms are Tl at (0.0000, 0.0000, 0.0000), Ag at (0.0000, 0.2500, 0.5000) and Br at (0.2500, 0.2500, 0.2500).

Arrangement x

VASP calculation (PBE-GGA) on an optimized crystal structure of TlAg3Br4.

The value obtained for the density is 5.002 g/cm³.

The space group is Pmn2_1 (No. 31) and the conventional cell measures 9.2196, 7.9606 and 7.6673 Å, with angles of 90.00, 90.00 and 90.00 degrees. The inequivalent atoms are Tl at (0.0000, 0.1668, 0.0000), Ag at (0.0000, 0.8143, 0.5155), Ag at (0.2490, 0.3354, 0.5228), Br at (0.0000, 0.1536, 0.5682), Br at (0.0000, 0.7902, 0.1595) and Br at (0.2244, 0.6469, 0.6666).

Quick one: least stable of them? arrangement w

Arrangement w

VASP calculation (PBE-GGA) on an optimized crystal structure of Tl2Ag2Br7.

The value obtained for the density is 4.576 g/cm³.

The space group is C2/m (No. 12) and the conventional cell measures 11.4690, 11.1898 and 7.5453 Å, with angles of 90.00, 117.46 and 90.00 degrees. The inequivalent atoms are Tl at (0.2071, 0.0000, 0.4047), Ag at (0.0000, 0.3170, 0.0000), Br at (0.0000, 0.0000, 0.5000), Br at (0.0420, 0.5000, 0.2727) and Br at (0.2209, 0.1909, 0.1886).

Arrangement x

VASP calculation (PBE-GGA) on an optimized crystal structure of Tl2Ag2Br7.

The value obtained for the density is 4.661 g/cm³.

The space group is C2/c (No. 15) and the conventional cell measures 10.5653, 11.7212 and 14.4294 Å, with angles of 90.00, 109.26 and 90.00 degrees. The inequivalent atoms are Tl at (0.2293, 0.2122, 0.1979), Ag at (0.1507, 0.4072, 0.4642), Br at (0.0000, 0.2343, 0.7500), Br at (0.1148, 0.3940, 0.0722), Br at (0.1638, 0.1933, 0.3694) and Br at (0.1773, 0.0020, 0.1150).

Quick one: least stable of them? arrangement w

Arrangement w

VASP calculation (PBE-GGA) on an optimized crystal structure of TlAg2Br6.

The value obtained for the density is 4.679 g/cm³.

The space group is C2/m (No. 12) and the conventional cell measures 13.8274, 4.4712 and 11.0293 Å, with angles of 90.00, 110.55 and 90.00 degrees. The inequivalent atoms are Tl at (0.0000, 0.0000, 0.0000), Ag at (0.1776, 0.5000, 0.7321), Br at (0.1026, 0.0000, 0.6158), Br at (0.1220, 0.5000, 0.9484) and Br at (0.1254, 0.0000, 0.2475).

Arrangement x

VASP calculation (PBE-GGA) on an optimized crystal structure of TlAg2Br6.

The value obtained for the density is 5.136 g/cm³.

The space group is P2_1/c (No. 14) and the conventional cell measures 7.0196, 7.1531 and 12.7881 Å, with angles of 90.00, 115.07 and 90.00 degrees. The inequivalent atoms are Tl at (0.0000, 0.0000, 0.0000), Ag at (0.3626, 0.1313, 0.8453), Br at (0.0984, 0.1874, 0.4092), Br at (0.2649, 0.6930, 0.4280) and Br at (0.3805, 0.0625, 0.2237).

Quick one: least stable of them? arrangement w

Arrangement w

VASP calculation (PBE-GGA) on an optimized crystal structure of Tl3AgBr.

The value obtained for the density is 7.623 g/cm³.

The space group is Pm-3m (No. 221) and the conventional cell measures 5.5878, 5.5878 and 5.5878 Å, with angles of 90.00, 90.00 and 90.00 degrees. The inequivalent atoms are Tl at (0.0000, 0.0000, 0.5000), Ag at (0.0000, 0.0000, 0.0000) and Br at (0.5000, 0.5000, 0.5000).

Arrangement x

VASP calculation (PBE-GGA) on an optimized crystal structure of Tl3AgBr.

The value obtained for the density is 5.940 g/cm³.

The space group is Pm-3m (No. 221) and the conventional cell measures 6.0723, 6.0723 and 6.0723 Å, with angles of 90.00, 90.00 and 90.00 degrees. The inequivalent atoms are Tl at (0.0000, 0.0000, 0.5000), Ag at (0.5000, 0.5000, 0.5000) and Br at (0.0000, 0.0000, 0.0000).

Quick one: least stable of them? arrangement x